(1)
Compound: CuMoH
Source: Alexandria
Functional: GGA-PBE
Structure: relaxed

Output
Polymorph energy (0 for the lowest one) ... 16.2 meV per atom
Raw total energy ... -17.53 eV/f.u.

The structure in CIF format:
```
data_CuMoH
_symmetry_space_group_name_H-M 'P 1'
_symmetry_Int_Tables_number 1
_cell_length_a 6.303
_cell_length_b 3.700
_cell_length_c 5.157
_cell_angle_alpha 90.00
_cell_angle_beta 90.00
_cell_angle_gamma 90.00
loop_
_symmetry_equiv_pos_as_xyz
'x,y,z'
loop_
_atom_site_label
_atom_site_type_symbol
_atom_site_fract_x
_atom_site_fract_y
_atom_site_fract_z
_atom_site_occupancy
H1 H 0.859 0.250 0.449 1
H2 H 0.641 0.750 0.949 1
H3 H 0.141 0.750 0.551 1
H4 H 0.359 0.250 0.051 1
Mo1 Mo 0.163 0.250 0.379 1
Mo2 Mo 0.337 0.750 0.879 1
Mo3 Mo 0.837 0.750 0.621 1
Mo4 Mo 0.663 0.250 0.121 1
Cu1 Cu 0.044 0.250 0.871 1
Cu2 Cu 0.456 0.750 0.371 1
Cu3 Cu 0.956 0.750 0.129 1
Cu4 Cu 0.544 0.250 0.629 1
```



(2)
Compound: CuMoH
Source: Alexandria
Functional: GGA-PBE
Structure: relaxed

Output
Polymorph energy (0 for the lowest one) ... 556.6 meV per atom
Raw total energy ... -15.91 eV/f.u.

The structure in CIF format:
```
data_CuMoH
_symmetry_space_group_name_H-M 'P 1'
_symmetry_Int_Tables_number 1
_cell_length_a 2.725
_cell_length_b 2.725
_cell_length_c 11.070
_cell_angle_alpha 90.00
_cell_angle_beta 90.00
_cell_angle_gamma 120.00
loop_
_symmetry_equiv_pos_as_xyz
'x,y,z'
loop_
_atom_site_label
_atom_site_type_symbol
_atom_site_fract_x
_atom_site_fract_y
_atom_site_fract_z
_atom_site_occupancy
H1 H 0.333 0.667 0.250 1
H2 H 0.667 0.333 0.750 1
Mo1 Mo 0.000 0.000 0.000 1
Mo2 Mo 0.000 0.000 0.500 1
Cu1 Cu 0.000 0.000 0.250 1
Cu2 Cu 0.000 0.000 0.750 1
```